# PBE GaTcAsP2, optimized geometry
# Formation energy from the elements   6.58 eV/f.u.
# Total energy   -22.3 eV/cell
data_GaTcAsP2
_chemical_formula_sum 'Ga1 Tc1 As1 P2'
_cell_length_a 4.605
_cell_length_b 4.605
_cell_length_c 4.844
_cell_angle_alpha 90.00
_cell_angle_beta 90.00
_cell_angle_gamma 90.00
_symmetry_space_group_name_H-M 'P 4/m m m'
_symmetry_Int_Tables_number 123
_symmetry_space_group_name_Hall '-P 4 2'
loop_
_atom_site_label
_atom_site_fract_x
_atom_site_fract_y
_atom_site_fract_z
Ga1 0.000 0.000 0.000
Tc1 0.500 0.500 0.500
As1 0.000 0.000 0.500
P1 0.000 0.500 0.000

---

# PBE Nd3Er4In2, optimized geometry
# Formation energy from the elements   -1.00 eV/f.u.
# Total energy   -156.1 eV/cell
data_Nd3Er4In2
_chemical_formula_sum 'Nd12 Er16 In8'
_cell_length_a 12.957
_cell_length_b 13.467
_cell_length_c 6.498
_cell_angle_alpha 90.00
_cell_angle_beta 95.15
_cell_angle_gamma 90.00
_symmetry_space_group_name_H-M 'C 1 2/c 1'
_symmetry_Int_Tables_number 15
loop_
_symmetry_equiv_pos_as_xyz
'x,y,z'
'-x,-y,-z'
'-x,y,-z+1/2'
'x,-y,z+1/2'
'x+1/2,y+1/2,z'
'-x+1/2,-y+1/2,-z'
'-x+1/2,y+1/2,-z+1/2'
'x+1/2,-y+1/2,z+1/2'
loop_
_atom_site_label
_atom_site_fract_x
_atom_site_fract_y
_atom_site_fract_z
Nd1 0.000 0.034 0.250
Nd2 0.112 0.431 0.594
Er1 0.107 0.285 0.087
Er2 0.151 0.174 0.592
In1 0.206 0.074 0.037

---

# PBE Ca3La2TbTe6, optimized geometry
# Uncorrected formation energy   -1543 meV/atom
# Total energy   -115.7 eV/cell
data_Ca3La2TbTe6
_chemical_formula_sum 'Ca6 La4 Tb2 Te12'
_cell_length_a 7.763
_cell_length_b 13.433
_cell_length_c 7.896
_cell_angle_alpha 90.00
_cell_angle_beta 109.17
_cell_angle_gamma 90.00
_symmetry_space_group_name_H-M 'C 1 2/m 1'
_symmetry_Int_Tables_number 12
loop_
_symmetry_equiv_pos_as_xyz
'x,y,z'
'-x,-y,-z'
'-x,y,-z'
'x,-y,z'
'x+1/2,y+1/2,z'
'-x+1/2,-y+1/2,-z'
'-x+1/2,y+1/2,-z'
'x+1/2,-y+1/2,z'
loop_
_atom_site_label
_atom_site_fract_x
_atom_site_fract_y
_atom_site_fract_z
Ca1 0.000 0.000 0.000
Ca2 0.000 0.330 0.000
La1 0.000 0.166 0.500
Tb1 0.000 0.500 0.500
Te1 0.238 0.500 0.244
Te2 0.247 0.338 0.754

---

# PBE LaAg2Hg2, optimized geometry
# Formation energy from the elements   -0.45 eV/f.u.
# Energy above the most stable polymorph in this dataset   175 meV/atom
# Total energy   -23.4 eV/cell
data_LaAg2Hg2
_chemical_formula_sum 'La2 Ag4 Hg4'
_cell_length_a 8.375
_cell_length_b 8.375
_cell_length_c 3.423
_cell_angle_alpha 90.00
_cell_angle_beta 90.00
_cell_angle_gamma 90.00
_symmetry_space_group_name_H-M 'P 4/m b m'
_symmetry_Int_Tables_number 127
_symmetry_space_group_name_Hall '-P 4 2ab'
loop_
_atom_site_label
_atom_site_fract_x
_atom_site_fract_y
_atom_site_fract_z
La1 0.000 0.000 0.000
Ag1 0.172 0.328 0.500
Hg1 0.126 0.626 0.000

---

# PBE Ca2MgHg, optimized geometry
# Formation energy from the elements   -0.24 eV/f.u.
# Energy above the most stable polymorph in this dataset   265 meV/atom
# Total energy   -24.5 eV/cell
data_Ca2MgHg
_chemical_formula_sum 'Ca8 Mg4 Hg4'
_cell_length_a 8.710
_cell_length_b 8.710
_cell_length_c 6.896
_cell_angle_alpha 90.00
_cell_angle_beta 90.00
_cell_angle_gamma 90.00
_symmetry_space_group_name_H-M 'I -4 2 d'
_symmetry_Int_Tables_number 122
_symmetry_space_group_name_Hall 'I -4 2bw'
loop_
_atom_site_label
_atom_site_fract_x
_atom_site_fract_y
_atom_site_fract_z
Ca1 0.221 0.750 0.125
Mg1 0.000 0.000 0.500
Hg1 0.000 0.000 0.000

---

# PBE TiSiRh3, optimized geometry
# Uncorrected formation energy   -46 meV/atom
# Energy above the most stable polymorph in this dataset   584 meV/atom
# Total energy   -35.6 eV/cell
data_TiSiRh3
_chemical_formula_sum 'Ti1 Si1 Rh3'
_cell_length_a 4.364
_cell_length_b 4.364
_cell_length_c 4.364
_cell_angle_alpha 90.00
_cell_angle_beta 90.00
_cell_angle_gamma 90.00
_symmetry_space_group_name_H-M 'P m -3 m'
_symmetry_Int_Tables_number 221
_symmetry_space_group_name_Hall '-P 4 2 3'
loop_
_atom_site_label
_atom_site_fract_x
_atom_site_fract_y
_atom_site_fract_z
Ti1 0.000 0.000 0.000
Si1 0.500 0.500 0.500
Rh1 0.000 0.500 0.500

---

# PBE LiTcBr, optimized geometry
# Uncorrected formation energy   700 meV/atom
# Energy above the most stable polymorph in this dataset   317 meV/atom
# Total energy   -47.4 eV/cell
data_LiTcBr
_chemical_formula_sum 'Li4 Tc4 Br4'
_cell_length_a 5.939
_cell_length_b 5.939
_cell_length_c 5.939
_cell_angle_alpha 90.00
_cell_angle_beta 90.00
_cell_angle_gamma 90.00
_symmetry_space_group_name_H-M 'F -4 3 m'
_symmetry_Int_Tables_number 216
_symmetry_space_group_name_Hall 'F -4 2 3'
loop_
_atom_site_label
_atom_site_fract_x
_atom_site_fract_y
_atom_site_fract_z
Li1 0.000 0.000 0.000
Tc1 0.000 0.000 0.500
Br1 0.250 0.250 0.750

---

# PBE ReSb2H, optimized geometry
# Energy above the most stable polymorph in this dataset   158 meV/atom
# Total energy   -81.5 eV/cell
data_ReSb2H
_chemical_formula_sum 'Re4 Sb8 H4'
_cell_length_a 5.778
_cell_length_b 5.778
_cell_length_c 10.147
_cell_angle_alpha 90.00
_cell_angle_beta 90.00
_cell_angle_gamma 90.00
_symmetry_space_group_name_H-M 'I -4 2 d'
_symmetry_Int_Tables_number 122
_symmetry_space_group_name_Hall 'I -4 2bw'
loop_
_atom_site_label
_atom_site_fract_x
_atom_site_fract_y
_atom_site_fract_z
Re1 0.000 0.000 0.000
Sb1 0.202 0.250 0.625
H1 0.000 0.000 0.500

---

# PBE ZrPCl3, optimized geometry
# Uncorrected formation energy   -528 meV/atom
# Energy above the most stable polymorph in this dataset   0 meV/atom
# Total energy   -22.1 eV/cell
data_ZrPCl3
_chemical_formula_sum 'Zr1 P1 Cl3'
_cell_length_a 5.097
_cell_length_b 5.097
_cell_length_c 5.097
_cell_angle_alpha 90.00
_cell_angle_beta 90.00
_cell_angle_gamma 90.00
_symmetry_space_group_name_H-M 'P m -3 m'
_symmetry_Int_Tables_number 221
_symmetry_space_group_name_Hall '-P 4 2 3'
loop_
_atom_site_label
_atom_site_fract_x
_atom_site_fract_y
_atom_site_fract_z
Zr1 0.000 0.000 0.000
P1 0.500 0.500 0.500
Cl1 0.000 0.000 0.500

---

# PBE Tb3TmRh8, optimized geometry
# Formation energy from the elements   -8.98 eV/f.u.
# Total energy   -258.5 eV/cell
data_Tb3TmRh8
_chemical_formula_sum 'Tb9 Tm3 Rh24'
_cell_length_a 5.3366
_cell_length_b 5.3366
_cell_length_c 26.1297
_cell_angle_alpha 90.00
_cell_angle_beta 90.00
_cell_angle_gamma 120.00
_symmetry_space_group_name_H-M 'R 3 m'
_symmetry_Int_Tables_number 160
_symmetry_space_group_name_Hall 'R 3 -2"'
loop_
_atom_site_label
_atom_site_fract_x
_atom_site_fract_y
_atom_site_fract_z
Tb1 0.0000 0.0000 0.0000
Tb2 0.0000 0.0000 0.1254
Tb3 0.0000 0.0000 0.6247
Tm1 0.0000 0.0000 0.4997
Rh1 0.0000 0.0000 0.3125
Rh2 0.0000 0.0000 0.8125
Rh3 0.0004 0.5002 0.0629
Rh4 0.9998 0.4999 0.5621

---

# PBE HfVI3, optimized geometry
# Uncorrected formation energy   478 meV/atom
# Energy above the most stable polymorph in this dataset   0 meV/atom
# Total energy   -21.3 eV/cell
data_HfVI3
_chemical_formula_sum 'Hf1 V1 I3'
_cell_length_a 5.668
_cell_length_b 5.668
_cell_length_c 5.668
_cell_angle_alpha 90.00
_cell_angle_beta 90.00
_cell_angle_gamma 90.00
_symmetry_space_group_name_H-M 'P m -3 m'
_symmetry_Int_Tables_number 221
_symmetry_space_group_name_Hall '-P 4 2 3'
loop_
_atom_site_label
_atom_site_fract_x
_atom_site_fract_y
_atom_site_fract_z
Hf1 0.000 0.000 0.000
V1 0.500 0.500 0.500
I1 0.000 0.000 0.500

---

# PBE ZrHgAu, optimized geometry
# Formation energy from the elements   -0.66 eV/f.u.
# Total energy   -25.6 eV/cell
data_ZrHgAu
_chemical_formula_sum 'Zr2 Hg2 Au2'
_cell_length_a 4.172
_cell_length_b 4.172
_cell_length_c 7.370
_cell_angle_alpha 90.00
_cell_angle_beta 90.00
_cell_angle_gamma 90.00
_symmetry_space_group_name_H-M 'P 4/n m m'
_symmetry_Int_Tables_number 129
loop_
_symmetry_equiv_pos_as_xyz
'x,y,z'
'-x,-y,-z'
'-y+1/2,x,z'
'y+1/2,-x,-z'
'-x+1/2,-y+1/2,z'
'x+1/2,y+1/2,-z'
'y,-x+1/2,z'
'-y,x+1/2,-z'
'x+1/2,-y,-z'
'-x+1/2,y,z'
'-y,-x,-z'
'y,x,z'
'-x,y+1/2,-z'
'x,-y+1/2,z'
'y+1/2,x+1/2,-z'
'-y+1/2,-x+1/2,z'
loop_
_atom_site_label
_atom_site_fract_x
_atom_site_fract_y
_atom_site_fract_z
Zr1 0.250 0.250 0.160
Hg1 0.250 0.750 0.500
Au1 0.250 0.250 0.796